MnCr2Mo (PBE-GGA, relaxed); spin magnetization = 0.00 μB/f.u.; energy above the lowest structure with this stoichiometry = 0.09 eV per formula unit; density = 8.46 g/cm3; DOS(E_F) = 1.94 states/eV per atom
1.0
0.000 2.925 2.925
2.925 0.000 2.925
2.925 2.925 0.000
Mn Cr Mo
1 2 1
Cartesian
0.000 0.000 0.000 Mn
1.463 1.463 1.463 Cr
4.388 4.388 4.388 Cr
2.925 2.925 2.925 Mo